BeCrInF6 PBE with a Hubbard U optimized geometry; DOS(E_F) = 0.0 states/eV/cell; space-group type = No. 149; energy = -5.3799 eV/atom
1.0
-2.985 -2.729 -2.906
1.577 -1.500 -4.479
2.252 -5.139 2.515
F Be In Cr
6 1 1 1
direct
0.024 0.615 0.666
0.361 0.024 0.666
0.615 0.361 0.666
0.024 0.361 0.334
0.614 0.024 0.334
0.361 0.615 0.334
0.333 0.333 0.500
0.000 0.000 0.000
0.667 0.667 0.500